An optimized crystal structure of CaPr4Ir2, computed with GGA-PBE.

Output
VASP energy = -5.842 eV/atom
Spin magnetization = 0.00 μB per formula unit
Formation enthalpy at 0 K = -6.76 kcal/mol of atoms
ΔE to the lowest computed polymorph = 0.55 eV/f.u.

Cell and atoms, written as CIF:
```
data_CaPr4Ir2
_chemical_formula_sum 'Ca2 Pr8 Ir4'
_cell_length_a 7.750
_cell_length_b 7.751
_cell_length_c 8.626
_cell_angle_alpha 105.87
_cell_angle_beta 105.89
_cell_angle_gamma 95.94
_symmetry_space_group_name_H-M 'P 1'
_symmetry_Int_Tables_number 1
_symmetry_space_group_name_Hall 'P 1'
loop_
_atom_site_label
_atom_site_type_symbol
_atom_site_fract_x
_atom_site_fract_y
_atom_site_fract_z
Ca1 Ca 0.000 0.000 0.000
Ca2 Ca 0.028 0.972 0.500
Pr1 Pr 0.294 0.754 0.765
Pr2 Pr 0.298 0.751 0.258
Pr3 Pr 0.318 0.290 0.401
Pr4 Pr 0.318 0.290 0.902
Pr5 Pr 0.673 0.725 0.598
Pr6 Pr 0.753 0.646 0.097
Pr7 Pr 0.779 0.270 0.757
Pr8 Pr 0.783 0.267 0.265
Ir1 Ir 0.037 0.390 0.109
Ir2 Ir 0.418 0.008 0.609
Ir3 Ir 0.518 0.497 0.753
Ir4 Ir 0.525 0.491 0.254
```



An optimized crystal structure of Cs5Bi2Br12, computed with GGA-PBE.

Output
VASP energy = -2.885 eV/atom
Spin magnetization = 1.08 μB per formula unit
Formation energy (no corrections) = -1195 meV per atom
ΔE to the lowest computed polymorph = 0.56 eV/f.u.

Cell and atoms, written as CIF:
```
data_Cs5Bi2Br12
_chemical_formula_sum 'Cs10 Bi4 Br24'
_cell_length_a 17.349
_cell_length_b 12.159
_cell_length_c 10.255
_cell_angle_alpha 90.00
_cell_angle_beta 115.61
_cell_angle_gamma 90.00
_symmetry_space_group_name_H-M 'C 1 2/m 1'
_symmetry_Int_Tables_number 12
_symmetry_space_group_name_Hall '-C 2y'
loop_
_atom_site_label
_atom_site_type_symbol
_atom_site_fract_x
_atom_site_fract_y
_atom_site_fract_z
Cs1 Cs 0.000 0.000 0.000
Cs2 Cs 0.156 0.500 0.982
Cs3 Cs 0.248 0.500 0.533
Bi1 Bi 0.000 0.191 0.500
Br1 Br 0.064 0.500 0.223
Br2 Br 0.074 0.196 0.294
Br3 Br 0.112 0.000 0.669
Br4 Br 0.138 0.320 0.688
```



An optimized crystal structure of YGa2As, computed with GGA-PBE.

Output
VASP energy = -4.722 eV/atom
Spin magnetization = 0.00 μB per formula unit
Formation enthalpy at 0 K = -9.92 kcal/mol of atoms

Cell and atoms, written as CIF:
```
data_YGa2As
_chemical_formula_sum 'Y4 Ga8 As4'
_cell_length_a 7.802
_cell_length_b 7.802
_cell_length_c 5.794
_cell_angle_alpha 90.00
_cell_angle_beta 90.00
_cell_angle_gamma 90.00
_symmetry_space_group_name_H-M 'I -4 2 d'
_symmetry_Int_Tables_number 122
_symmetry_space_group_name_Hall 'I -4 2bw'
loop_
_atom_site_label
_atom_site_type_symbol
_atom_site_fract_x
_atom_site_fract_y
_atom_site_fract_z
Y1 Y 0.000 0.000 0.000
Ga1 Ga 0.213 0.250 0.625
As1 As 0.000 0.000 0.500
```



An optimized crystal structure of KTl8In2, computed with GGA-PBE.

Output
VASP energy = -2.322 eV/atom
Spin magnetization = 0.00 μB per formula unit
Formation enthalpy at 0 K = -0.09 kcal/mol of atoms
ΔE to the lowest computed polymorph = 0.00 eV/f.u.

Cell and atoms, written as CIF:
```
data_KTl8In2
_chemical_formula_sum 'K2 Tl16 In4'
_cell_length_a 18.956
_cell_length_b 6.921
_cell_length_c 5.522
_cell_angle_alpha 90.00
_cell_angle_beta 95.38
_cell_angle_gamma 90.00
_symmetry_space_group_name_H-M 'C 1 2/m 1'
_symmetry_Int_Tables_number 12
_symmetry_space_group_name_Hall '-C 2y'
loop_
_atom_site_label
_atom_site_type_symbol
_atom_site_fract_x
_atom_site_fract_y
_atom_site_fract_z
K1 K 0.000 0.000 0.000
Tl1 Tl 0.042 0.500 0.260
Tl2 Tl 0.139 0.257 0.719
Tl3 Tl 0.197 0.000 0.240
In1 In 0.207 0.500 0.230
```



An optimized crystal structure of BaCd2Ag9, computed with GGA-PBE.

Output
VASP energy = -2.518 eV/atom
Spin magnetization = 0.00 μB per formula unit
Formation enthalpy at 0 K = -1.53 kcal/mol of atoms
ΔE to the lowest computed polymorph = 0.00 eV/f.u.

Cell and atoms, written as CIF:
```
data_BaCd2Ag9
_chemical_formula_sum 'Ba3 Cd6 Ag27'
_cell_length_a 5.7940
_cell_length_b 5.7940
_cell_length_c 26.8093
_cell_angle_alpha 90.00
_cell_angle_beta 90.00
_cell_angle_gamma 120.00
_symmetry_space_group_name_H-M 'R -3 m'
_symmetry_Int_Tables_number 166
_symmetry_space_group_name_Hall '-R 3 2"'
loop_
_atom_site_label
_atom_site_type_symbol
_atom_site_fract_x
_atom_site_fract_y
_atom_site_fract_z
Ba1 Ba 0.0000 0.0000 0.0000
Cd1 Cd 0.0000 0.0000 0.1461
Ag1 Ag 0.0000 0.0000 0.3341
Ag2 Ag 0.0000 0.0000 0.5000
Ag3 Ag 0.0070 0.5035 0.9128
```



An optimized crystal structure of CaCuNi3, computed with GGA-PBE.

Output
VASP energy = -3.091 eV/atom
Spin magnetization = 0.00 μB per formula unit
Formation enthalpy at 0 K = 36.85 kcal/mol of atoms
ΔE to the lowest computed polymorph = 5.61 eV/f.u.

Cell and atoms, written as CIF:
```
data_CaCuNi3
_chemical_formula_sum 'Ca1 Cu1 Ni3'
_cell_length_a 4.468
_cell_length_b 4.468
_cell_length_c 4.468
_cell_angle_alpha 90.00
_cell_angle_beta 90.00
_cell_angle_gamma 90.00
_symmetry_space_group_name_H-M 'P m -3 m'
_symmetry_Int_Tables_number 221
_symmetry_space_group_name_Hall '-P 4 2 3'
loop_
_atom_site_label
_atom_site_type_symbol
_atom_site_fract_x
_atom_site_fract_y
_atom_site_fract_z
Ca1 Ca 0.000 0.000 0.000
Cu1 Cu 0.500 0.500 0.500
Ni1 Ni 0.000 0.000 0.500
```



An optimized crystal structure of TbHfZn17, computed with GGA-PBE.

Output
VASP energy = -2.060 eV/atom
Spin magnetization = 0.00 μB per formula unit
Formation enthalpy at 0 K = -3.52 kcal/mol of atoms

Cell and atoms, written as CIF:
```
data_TbHfZn17
_chemical_formula_sum 'Tb3 Hf3 Zn51'
_cell_length_a 8.8835
_cell_length_b 8.8835
_cell_length_c 13.0643
_cell_angle_alpha 90.00
_cell_angle_beta 90.00
_cell_angle_gamma 120.00
_symmetry_space_group_name_H-M 'R 3 m'
_symmetry_Int_Tables_number 160
_symmetry_space_group_name_Hall 'R 3 -2"'
loop_
_atom_site_label
_atom_site_type_symbol
_atom_site_fract_x
_atom_site_fract_y
_atom_site_fract_z
Tb1 Tb 0.0000 0.0000 0.0000
Hf1 Hf 0.0000 0.0000 0.6660
Zn1 Zn 0.0000 0.0000 0.2403
Zn2 Zn 0.0000 0.0000 0.4402
Zn3 Zn 0.0032 0.5016 0.1861
Zn4 Zn 0.0036 0.3023 0.3349
Zn5 Zn 0.0116 0.5058 0.8322
Zn6 Zn 0.0268 0.5134 0.4868
```



An optimized crystal structure of CaY5Te6, computed with GGA-PBE.

Output
VASP energy = -5.792 eV/atom
Spin magnetization = 0.00 μB per formula unit
Formation energy (no corrections) = -1361 meV per atom

Cell and atoms, written as CIF:
```
data_CaY5Te6
_chemical_formula_sum 'Ca2 Y10 Te12'
_cell_length_a 7.568
_cell_length_b 13.146
_cell_length_c 7.619
_cell_angle_alpha 90.00
_cell_angle_beta 109.40
_cell_angle_gamma 90.00
_symmetry_space_group_name_H-M 'C 1 2/m 1'
_symmetry_Int_Tables_number 12
_symmetry_space_group_name_Hall '-C 2y'
loop_
_atom_site_label
_atom_site_type_symbol
_atom_site_fract_x
_atom_site_fract_y
_atom_site_fract_z
Ca1 Ca 0.000 0.000 0.000
Y1 Y 0.000 0.165 0.500
Y2 Y 0.000 0.332 0.000
Y3 Y 0.000 0.500 0.500
Te1 Te 0.248 0.500 0.248
Te2 Te 0.249 0.333 0.748
```